(1)
Sr2Mg4HgGe3: relaxed, PBE.

a = 4.575 Å, b = 4.575 Å, c = 11.686 Å
α = 90.00°, β = 90.00°, γ = 90.00°
Element x y z (fractional)
Sr 0.000 0.500 0.246
Sr 0.500 0.000 0.754
Mg 0.000 0.000 0.000
Mg 0.000 0.500 0.637
Mg 0.500 0.000 0.363
Mg 0.500 0.500 0.000
Hg 0.000 0.000 0.500
Ge 0.000 0.500 0.864
Ge 0.500 0.000 0.136
Ge 0.500 0.500 0.500

Output
space-group type: P-4m2 (115)
electronic total energy: -2.7917 eV/atom
crystal system: tetragonal
V: 24.5 A^3/atom
mass density: 4.69 g/cm³
ΔH_f (0 K): -388 kJ/mol of formula units

(2)
Na3MgPb: relaxed, PBE.

a = 5.964 Å, b = 5.964 Å, c = 5.964 Å
α = 90.00°, β = 90.00°, γ = 90.00°
Element x y z (fractional)
Na 0.000 0.000 0.500
Na 0.000 0.500 0.000
Na 0.500 0.000 0.000
Mg 0.500 0.500 0.500
Pb 0.000 0.000 0.000

Output
space-group type: Pm-3m (221)
electronic total energy: -1.5833 eV/atom
distance to the lowest polymorph of the same formula: 0.245 eV/atom
crystal system: cubic
V: 42.4 A^3/atom
mass density: 2.35 g/cm³
ΔH_f (0 K): 130 kJ/mol of formula units

(3)
RbSr2BiO4: relaxed, PBE.

a = 7.421 Å, b = 7.421 Å, c = 7.421 Å
α = 120.19°, β = 119.17°, γ = 90.56°
Element x y z (fractional)
Rb 0.500 0.000 0.000
Rb 0.500 0.500 0.500
Sr 0.000 0.000 0.000
Sr 0.000 0.000 0.500
Sr 0.000 0.500 0.000
Sr 0.500 0.000 0.500
Bi 0.000 0.500 0.500
Bi 0.500 0.500 0.000
O 0.203 0.730 0.474
O 0.240 0.241 0.501
O 0.240 0.740 0.999
O 0.244 0.270 0.974
O 0.756 0.730 0.026
O 0.760 0.260 0.001
O 0.760 0.759 0.499
O 0.797 0.270 0.526

Output
space-group type: Imma (74)
electronic total energy: -5.3953 eV/atom
energy relative to the elements, uncorrected: -43.58 kcal/mol of atoms
crystal system: orthorhombic
V: 18.1 A^3/atom
mass density: 6.11 g/cm³